1.
Density functional theory data (PBE) for crystalline CaSn2P2 at its relaxed geometry.

Unit cell a=5.2370 b=5.2370 c=5.8727 alpha=63.52 beta=63.52 gamma=90.00
Fractional positions:
P1 0.7500 0.2500 0.5000
P2 0.2500 0.7500 0.5000
Ca1 0.0000 0.0000 0.0000
Sn1 0.6596 0.6596 0.6809
Sn2 0.3404 0.3404 0.3191

Results
* calculated total energy: -21.8 eV for the cell shown
* magnetization: 0.00 μB per cell
* energy of formation from the pure elements: -0.204 eV/atom
* SG: I4/mmm

---

2.
Density functional theory data (PBE) for crystalline HoTm2ScBi5 at its relaxed geometry.

Unit cell a=5.4560 b=5.4560 c=11.4232 alpha=90.00 beta=90.00 gamma=90.00
Fractional positions:
Sc1 0.0000 0.0000 0.0000
Bi1 0.5000 0.0000 0.5000
Bi2 0.0000 0.0000 0.7602
Bi3 0.0000 0.0000 0.2398
Bi4 0.5000 0.5000 0.0000
Bi5 0.0000 0.5000 0.5000
Tm1 0.5000 0.5000 0.7229
Tm2 0.5000 0.5000 0.2771
Ho1 0.0000 0.0000 0.5000

Results
* calculated total energy: -38.1 eV for the cell shown
* magnetization: 0.00 μB per cell
* energy of formation from the pure elements: 0.134 eV/atom
* SG: P4/mmm

---

3.
Density functional theory data (PBE) for crystalline La12Y7Ho at its relaxed geometry.

Unit cell a=6.3787 b=11.5699 c=11.5699 alpha=116.70 beta=100.59 gamma=100.59
Fractional positions:
La1 0.9309 0.3565 0.3560
La2 0.4994 0.4077 0.5918
La3 0.4256 0.0005 0.3565
La4 0.0917 0.1840 0.5923
La5 0.0924 0.5918 0.1840
La6 0.5749 0.6440 0.0005
La7 0.9083 0.8160 0.4077
La8 0.0691 0.6435 0.6440
La9 0.5006 0.5923 0.4082
La10 0.4251 0.3560 0.9995
La11 0.5744 0.9995 0.6435
La12 0.9076 0.4082 0.8160
Y1 0.3646 0.2474 0.2469
Y2 0.8827 0.0005 0.2474
Y3 0.5000 0.0000 0.0000
Y4 0.1178 0.7531 0.0005
Y5 0.8822 0.2469 0.9995
Y6 0.6354 0.7526 0.7531
Y7 0.1173 0.9995 0.7526
Ho1 0.0000 0.0000 0.0000

Results
* calculated total energy: -104.9 eV for the cell shown
* magnetization: 0.00 μB per cell
* energy of formation from the pure elements: 0.201 eV/atom
* SG: R-3m
* energy above the lowest structure with this stoichiometry: 18 meV per atom

---

4.
Density functional theory data (PBE) for crystalline Pm2PrDy6 at its relaxed geometry.

Unit cell a=3.5006 b=9.8333 c=9.8333 alpha=63.52 beta=79.74 gamma=79.74
Fractional positions:
Dy1 0.8214 0.0106 0.3452
Dy2 0.5000 0.6841 0.3159
Dy3 0.8214 0.3452 0.0106
Dy4 0.1786 0.6548 0.9894
Dy5 0.1786 0.9894 0.6548
Dy6 0.5000 0.3159 0.6841
Pm1 0.1560 0.3423 0.3423
Pm2 0.8440 0.6577 0.6577
Pr1 0.0000 0.0000 0.0000

Results
* calculated total energy: -41.0 eV for the cell shown
* magnetization: 0.00 μB per cell
* energy of formation from the pure elements: 0.103 eV/atom
* SG: C2/m
* energy above the lowest structure with this stoichiometry: 0 meV per atom

---

Q: energy of formation from the pure elements of number 3 (La12Y7Ho)?
A: 0.201 eV/atom